DFT (PBE) results for a relaxed structure of Sm3In3Hg2.

Cell: 3.8478 8.0976 8.0976 Å, 120.00 90.00 90.00°
Last column: nearest neighbours and their distance in Å.
Sites, in units of the cell vectors:
Sm1 0.5000 0.0000 0.6093  4 Hg 3.15, 4 In 3.36
Sm2 0.5000 0.6093 0.0000  4 Hg 3.15, 4 In 3.36
Sm3 0.5000 0.3907 0.3907  4 Hg 3.15, 4 In 3.36
Hg1 0.0000 0.6667 0.3333  6 Sm 3.15, 3 In 3.18
Hg2 0.0000 0.3333 0.6667  6 Sm 3.15, 3 In 3.18
In1 0.0000 0.0000 0.2335  2 Hg 3.18, 2 In 3.28, 4 Sm 3.36
In2 0.0000 0.7665 0.7665  2 Hg 3.18, 2 In 3.28, 4 Sm 3.36
In3 0.0000 0.2335 0.0000  2 Hg 3.18, 2 In 3.28, 4 Sm 3.36

## Properties
N(E_F) = 1.027 states/eV per atom
E_form = -0.4378 eV per atom